No. 1
## Cu2Pd3Au2 (PBE)

Data for a geometry-optimized Cu2Pd3Au2 structure.

It has space group C2/m (No. 12), with a = 8.8896 Å, b = 3.9851 Å, c = 6.0683 Å, α = 90.00°, β = 96.18° and γ = 90.00°. The distinct sites, in fractional coordinates, are Cu at (0.1390, 0.0000, 0.4262), Pd at (0.0000, 0.0000, 0.0000), Pd at (0.2112, 0.5000, 0.1560) and Au at (0.0801, 0.5000, 0.7074).

For the density of states at the Fermi level, the calculation gives 0.523 states/eV per atom. Its crystal system is monoclinic.

No. 2
## CuPdAu4 (PBE)

Data for a geometry-optimized CuPdAu4 structure.

It has space group C2/c (No. 15), with a = 15.8763 Å, b = 5.5260 Å, c = 5.5097 Å, α = 90.00°, β = 100.45° and γ = 90.00°. The distinct sites, in fractional coordinates, are Cu at (0.0000, 0.1230, 0.2500), Pd at (0.2500, 0.2500, 0.0000), Au at (0.1257, 0.4345, 0.2460) and Au at (0.1309, 0.0759, 0.6112).

For the density of states at the Fermi level, the calculation gives 0.368 states/eV per atom. Its crystal system is monoclinic.

No. 3
## Cu2PdAu8 (PBE)

Data for a geometry-optimized Cu2PdAu8 structure.

It has space group Immm (No. 71), with a = 4.2131 Å, b = 7.1685 Å, c = 12.5808 Å, α = 90.00°, β = 90.00° and γ = 90.00°. The distinct sites, in fractional coordinates, are Cu at (0.0000, 0.0000, 0.1900), Pd at (0.0000, 0.0000, 0.5000), Au at (0.0000, 0.1979, 0.0000), Au at (0.0000, 0.2809, 0.3422) and Au at (0.0000, 0.5000, 0.1538).

For the density of states at the Fermi level, the calculation gives 0.321 states/eV per atom. Its crystal system is orthorhombic.

No. 4
## Cu2Pd3Au5 (PBE)

Data for a geometry-optimized Cu2Pd3Au5 structure.

It has space group C2/c (No. 15), with a = 9.6373 Å, b = 10.8797 Å, c = 7.7725 Å, α = 90.00°, β = 120.24° and γ = 90.00°. The distinct sites, in fractional coordinates, are Cu at (0.2470, 0.1259, 0.0067), Pd at (0.0000, 0.2504, 0.7500), Pd at (0.1984, 0.3834, 0.6320), Au at (0.0000, 0.0026, 0.2500), Au at (0.0000, 0.2498, 0.2500), Au at (0.0000, 0.4997, 0.2500) and Au at (0.2023, 0.1222, 0.6460).

For the density of states at the Fermi level, the calculation gives 0.366 states/eV per atom. Its crystal system is monoclinic.

No. 5
## Cu3PdAu6 (PBE)

Data for a geometry-optimized Cu3PdAu6 structure.

It has space group Pnnm (No. 58), with a = 10.1529 Å, b = 11.3610 Å, c = 2.9224 Å, α = 90.00°, β = 90.00° and γ = 90.00°. The distinct sites, in fractional coordinates, are Cu at (0.0000, 0.0000, 0.0000), Cu at (0.1093, 0.3355, 0.5000), Pd at (0.0000, 0.5000, 0.0000), Au at (0.0800, 0.7549, 0.0000), Au at (0.1974, 0.1578, 0.0000) and Au at (0.2139, 0.9441, 0.5000).

For the density of states at the Fermi level, the calculation gives 0.185 states/eV per atom. Its crystal system is orthorhombic.

No. 6
## Cu2Pd2Au (PBE)

Data for a geometry-optimized Cu2Pd2Au structure.

It has space group P4/mbm (No. 127), with a = 7.1318 Å, b = 7.1318 Å, c = 2.9330 Å, α = 90.00°, β = 90.00° and γ = 90.00°. The distinct sites, in fractional coordinates, are Cu at (0.1258, 0.3742, 0.0000), Pd at (0.1697, 0.6697, 0.5000) and Au at (0.0000, 0.0000, 0.0000).

For the density of states at the Fermi level, the calculation gives 0.410 states/eV per atom. Its crystal system is tetragonal.

Number 1: energy relative to the elements -95 meV/atom. Number 2: energy relative to the elements 178 meV/atom. Number 3: energy relative to the elements -10 meV/atom. Number 4: energy relative to the elements 68 meV/atom. Number 5: energy relative to the elements 39 meV/atom. Number 6: energy relative to the elements -19 meV/atom.